1.
Cs3AsSe4: PBEsol geometry, SCAN.

```
Cs3AsSe4
1.0
-9.462 -1.833 -1.689
2.282 -9.910 -2.031
-1.504 -2.666 11.320
Se Cs As
16 12 4
Direct
0.532 0.577 0.250
0.363 0.975 0.418
0.204 0.251 0.250
0.863 0.525 0.082
0.796 0.749 0.750
0.968 0.077 0.750
0.032 0.923 0.250
0.704 0.249 0.250
0.637 0.025 0.582
0.137 0.475 0.918
0.468 0.423 0.750
0.296 0.751 0.750
0.637 0.025 0.918
0.137 0.475 0.582
0.863 0.525 0.418
0.363 0.975 0.082
0.954 0.191 0.040
0.454 0.309 0.040
0.337 0.086 0.750
0.837 0.414 0.750
0.663 0.914 0.250
0.046 0.809 0.540
0.546 0.691 0.960
0.454 0.309 0.460
0.546 0.691 0.540
0.163 0.586 0.250
0.046 0.809 0.960
0.954 0.191 0.460
0.756 0.970 0.750
0.256 0.530 0.750
0.244 0.030 0.250
0.744 0.470 0.250
```

Values from the calculation:
magnetization = 0.0 μB/cell
space-group type = Pnma (62)
raw total energy = -27.754 eV/atom
ΔE_f (raw) = -1.01 eV/atom

***

2.
CsAsSe2: PBEsol geometry, SCAN.

```
CsAsSe2
1.0
-1.959 5.423 -3.785
5.480 -3.384 -7.685
-13.656 -8.972 -5.787
Se As Cs
16 8 8
Direct
0.855 0.977 0.578
0.512 0.617 0.780
0.645 0.023 0.078
0.012 0.883 0.220
0.988 0.383 0.280
0.355 0.523 0.422
0.512 0.883 0.280
0.145 0.477 0.922
0.012 0.617 0.720
0.645 0.477 0.578
0.855 0.523 0.078
0.488 0.383 0.220
0.145 0.023 0.422
0.488 0.117 0.720
0.988 0.117 0.780
0.355 0.977 0.922
0.731 0.037 0.209
0.769 0.537 0.209
0.769 0.963 0.709
0.231 0.037 0.291
0.231 0.463 0.791
0.731 0.463 0.709
0.269 0.963 0.791
0.269 0.537 0.291
0.852 0.703 0.419
0.148 0.297 0.581
0.352 0.797 0.581
0.852 0.797 0.919
0.648 0.203 0.419
0.648 0.297 0.919
0.352 0.703 0.081
0.148 0.203 0.081
```

Values from the calculation:
magnetization = 0.0 μB/cell
space-group type = Pbca (61)
raw total energy = -25.289 eV/atom
ΔE_f (raw) = -0.75 eV/atom

***

3.
Cs3AsSe: PBEsol geometry, SCAN.

```
Cs3AsSe
1.0
-5.159 -3.936 0.854
1.540 -0.645 6.329
-3.722 5.189 1.435
Cs Se As
3 1 1
Direct
0.000 0.500 0.000
0.000 0.000 0.500
0.500 0.000 0.000
0.500 0.500 0.500
0.000 0.000 0.000
```

Values from the calculation:
magnetization = 2.0 μB/cell
space-group type = Pm-3m (221)
raw total energy = -31.028 eV/atom
ΔE_f (raw) = -0.29 eV/atom

***

4.
CsSrAs2Se: PBEsol geometry, SCAN.

```
CsSrAs2Se
1.0
-1.146 -3.603 -4.049
3.046 -3.851 2.565
-4.553 -1.723 2.822
As Se Sr Cs
2 1 1 1
Direct
0.500 0.000 0.000
0.000 0.500 0.000
0.000 0.000 0.500
0.500 0.500 0.500
0.000 0.000 0.000
```

Values from the calculation:
magnetization = 0.0 μB/cell
space-group type = P4/mmm (123)
raw total energy = -23.510 eV/atom
ΔE_f (raw) = 0.60 eV/atom

***

5.
CsTcAsSe2: PBEsol geometry, SCAN.

```
CsTcAsSe2
1.0
-0.138 2.788 3.845
-5.032 0.566 -0.592
-0.805 -4.090 2.936
Cs Se As Tc
1 2 1 1
Direct
0.500 0.500 0.500
0.000 0.000 0.500
0.000 0.500 0.000
0.500 0.000 0.000
0.000 0.000 0.000
```

Values from the calculation:
E above lowest polymorph = 0.0 kJ/mol of atoms
magnetization = 1.9 μB/cell
space-group type = P4/mmm (123)
raw total energy = -26.787 eV/atom
ΔE_f (raw) = -0.14 eV/atom

***

6.
CsTcAsSe2: PBEsol geometry, SCAN.

```
CsTcAsSe2
1.0
-2.539 -3.839 -3.055
-1.455 -2.696 4.597
-4.751 2.957 0.231
As Se Tc Cs
1 2 1 1
Direct
0.000 0.000 0.500
0.000 0.500 0.000
0.500 0.000 0.000
0.500 0.500 0.500
0.000 0.000 0.000
```

Values from the calculation:
E above lowest polymorph = 204.0 kJ/mol of atoms
magnetization = 3.9 μB/cell
space-group type = P4/mmm (123)
raw total energy = -24.672 eV/atom
ΔE_f (raw) = 1.97 eV/atom

***

7.
CsTlAsSe2: PBEsol geometry, SCAN.

```
CsTlAsSe2
1.0
-0.863 -5.706 0.811
5.325 -0.497 2.170
-2.055 1.063 5.287
Se Tl Cs As
2 1 1 1
Direct
0.000 0.000 0.500
0.000 0.500 0.000
0.500 0.500 0.500
0.000 0.000 0.000
0.500 0.000 0.000
```

Values from the calculation:
magnetization = 2.3 μB/cell
space-group type = P4/mmm (123)
raw total energy = -33.180 eV/atom
ΔE_f (raw) = 0.92 eV/atom

***

8.
CsTlAs2Se: PBEsol geometry, SCAN.

```
CsTlAs2Se
1.0
5.772 0.000 0.000
0.000 5.772 0.000
0.000 0.000 5.743
Tl As Se Cs
1 2 1 1
Direct
0.500 0.500 0.500
0.000 0.500 0.000
0.500 0.000 0.000
0.000 0.000 0.500
0.000 0.000 0.000
```

Values from the calculation:
magnetization = 2.7 μB/cell
space-group type = P4/mmm (123)
raw total energy = -32.904 eV/atom
ΔE_f (raw) = 1.22 eV/atom

***

9.
Cs2SnAs2: PBEsol geometry, SCAN.

```
Cs2SnAs2
1.0
6.926 0.000 0.000
0.000 7.669 0.000
-3.463 -3.834 7.307
As Cs Sn
4 4 2
Direct
0.100 0.777 0.201
0.400 0.576 0.799
0.600 0.424 0.201
0.900 0.223 0.799
0.146 0.309 0.291
0.354 0.017 0.709
0.854 0.691 0.709
0.646 0.983 0.291
0.750 0.500 0.000
0.250 0.500 0.000
```

Values from the calculation:
magnetization = 0.0 μB/cell
space-group type = Ibam (72)
raw total energy = -30.925 eV/atom
DFT formation energy = -0.540 eV per atom

***

10.
CsTaAs3: PBEsol geometry, SCAN.

```
CsTaAs3
1.0
-0.741 -5.142 -0.998
3.920 0.124 -3.550
3.474 -1.237 3.793
As Cs Ta
3 1 1
Direct
0.000 0.500 0.000
0.000 0.000 0.500
0.500 0.000 0.000
0.000 0.000 0.000
0.500 0.500 0.500
```

Values from the calculation:
magnetization = 1.8 μB/cell
space-group type = Pm-3m (221)
raw total energy = -30.406 eV/atom
DFT formation energy = 2.588 eV per atom

***

11.
Cs2TeAs: PBEsol geometry, SCAN.

```
Cs2TeAs
1.0
-3.220 -1.638 -5.038
-5.803 -2.102 0.578
-4.763 3.483 -1.903
Cs Te As
2 1 1
Direct
0.750 0.750 0.750
0.250 0.250 0.250
0.500 0.500 0.500
0.000 0.000 0.000
```

Values from the calculation:
magnetization = 3.0 μB/cell
space-group type = Fm-3m (225)
raw total energy = -33.596 eV/atom
ΔE_f (raw) = -0.33 eV/atom

***

12.
Cs2Te3As: PBEsol geometry, SCAN.

```
Cs2Te3As
1.0
-4.655 7.904 -1.524
-4.526 -4.335 -8.655
-9.674 -5.438 1.344
Cs As Te
8 4 12
Direct
0.395 0.297 0.969
0.591 0.954 0.303
0.091 0.546 0.197
0.105 0.797 0.469
0.409 0.046 0.697
0.895 0.203 0.531
0.605 0.703 0.031
0.909 0.454 0.803
0.102 0.035 0.924
0.898 0.965 0.076
0.398 0.535 0.424
0.602 0.465 0.576
0.216 0.388 0.612
0.784 0.612 0.388
0.228 0.693 0.830
0.284 0.888 0.112
0.991 0.846 0.846
0.772 0.307 0.170
0.728 0.807 0.670
0.509 0.346 0.346
0.272 0.193 0.330
0.716 0.112 0.888
0.009 0.154 0.154
0.491 0.654 0.654
```

Values from the calculation:
magnetization = 0.0 μB/cell
space-group type = P2_1/c (14)
raw total energy = -35.333 eV/atom
ΔE_f (raw) = -0.74 eV/atom

***

13.
CsTiAs3: PBEsol geometry, SCAN.

```
CsTiAs3
1.0
-3.590 0.509 -3.426
-1.981 -4.349 1.430
-2.841 2.390 3.332
As Cs Ti
3 1 1
Direct
0.000 0.500 0.000
0.500 0.000 0.000
0.000 0.000 0.500
0.500 0.500 0.500
0.000 0.000 0.000
```

Values from the calculation:
magnetization = 0.0 μB/cell
space-group type = Pm-3m (221)
raw total energy = -23.140 eV/atom
DFT formation energy = -0.257 eV per atom

***

14.
CsTi2As2: PBEsol geometry, SCAN.

```
CsTi2As2
1.0
4.260 0.000 0.000
0.000 4.260 0.000
-2.130 -2.130 7.403
Ti As Cs
2 2 1
Direct
0.250 0.750 0.500
0.750 0.250 0.500
0.341 0.341 0.682
0.659 0.659 0.318
0.000 0.000 0.000
```

Values from the calculation:
magnetization = 0.0 μB/cell
space-group type = I4/mmm (139)
raw total energy = -22.846 eV/atom
DFT formation energy = -0.796 eV per atom

***

15.
CsTi3As: PBEsol geometry, SCAN.

```
CsTi3As
1.0
4.883 0.000 0.000
0.000 4.883 0.000
0.000 0.000 4.883
Cs Ti As
1 3 1
Direct
0.500 0.500 0.500
0.000 0.500 0.000
0.000 0.000 0.500
0.500 0.000 0.000
0.000 0.000 0.000
```

Values from the calculation:
magnetization = 0.0 μB/cell
space-group type = Pm-3m (221)
raw total energy = -20.465 eV/atom
DFT formation energy = 0.753 eV per atom

***

16.
CsTlAs3: PBEsol geometry, SCAN.

```
CsTlAs3
1.0
5.415 0.000 0.000
0.000 5.415 0.000
0.000 0.000 5.415
Tl As Cs
1 3 1
Direct
0.000 0.000 0.000
0.000 0.500 0.000
0.000 0.000 0.500
0.500 0.000 0.000
0.500 0.500 0.500
```

Values from the calculation:
magnetization = 0.0 μB/cell
space-group type = Pm-3m (221)
raw total energy = -33.584 eV/atom
DFT formation energy = 0.565 eV per atom

***

17.
CsTl2As2: PBEsol geometry, SCAN.

```
CsTl2As2
1.0
5.097 0.000 0.000
0.000 5.097 0.000
-2.549 -2.549 5.848
Cs As Tl
1 2 2
Direct
0.000 0.000 0.000
0.605 0.605 0.210
0.395 0.395 0.790
0.250 0.750 0.500
0.750 0.250 0.500
```

Values from the calculation:
E above lowest polymorph = 0.0 kJ/mol of atoms
magnetization = 0.0 μB/cell
space-group type = I4/mmm (139)
raw total energy = -44.820 eV/atom
DFT formation energy = -0.238 eV per atom

***

18.
CsTl2As2: PBEsol geometry, SCAN.

```
CsTl2As2
1.0
5.165 0.000 0.000
0.000 5.165 0.000
-2.583 -2.583 5.466
As Tl Cs
2 2 1
Direct
0.750 0.250 0.500
0.250 0.750 0.500
0.365 0.365 0.730
0.635 0.635 0.270
0.000 0.000 0.000
```

Values from the calculation:
E above lowest polymorph = 11.3 kJ/mol of atoms
magnetization = 0.0 μB/cell
space-group type = I4/mmm (139)
raw total energy = -44.703 eV/atom
DFT formation energy = -0.122 eV per atom

***

19.
CsTl3As: PBEsol geometry, SCAN.

```
CsTl3As
1.0
6.147 0.000 0.000
0.000 6.147 0.000
0.000 0.000 6.147
Tl Cs As
3 1 1
Direct
0.000 0.500 0.000
0.000 0.000 0.500
0.500 0.000 0.000
0.000 0.000 0.000
0.500 0.500 0.500
```

Values from the calculation:
magnetization = 0.0 μB/cell
space-group type = Pm-3m (221)
raw total energy = -53.844 eV/atom
DFT formation energy = 1.171 eV per atom

***

20.
CsAsW3: PBEsol geometry, SCAN.

```
CsAsW3
1.0
4.878 0.000 0.000
0.000 4.878 0.000
0.000 0.000 4.878
W As Cs
3 1 1
Direct
0.000 0.500 0.000
0.500 0.000 0.000
0.000 0.000 0.500
0.500 0.500 0.500
0.000 0.000 0.000
```

Values from the calculation:
magnetization = 0.0 μB/cell
space-group type = Pm-3m (221)
raw total energy = -49.015 eV/atom
DFT formation energy = 4.398 eV per atom

***

21.
CsZn4As3: PBEsol geometry, SCAN.

```
CsZn4As3
1.0
-0.093 4.095 0.599
-2.933 -0.488 2.881
7.399 -0.913 7.381
As Zn Cs
3 4 1
Direct
0.000 0.000 0.000
0.500 0.500 0.714
0.500 0.500 0.286
0.500 0.000 0.845
0.500 0.000 0.155
0.000 0.500 0.845
0.000 0.500 0.155
0.000 0.000 0.500
```

Values from the calculation:
magnetization = 0.0 μB/cell
space-group type = P4/mmm (123)
raw total energy = -19.411 eV/atom
DFT formation energy = -0.355 eV per atom

***

22.
CuAs2: PBEsol geometry, SCAN.

```
CuAs2
1.0
3.587 0.000 0.000
0.000 3.845 0.000
0.000 0.000 3.845
As Cu
2 1
Direct
0.500 0.500 0.000
0.500 0.000 0.500
0.000 0.000 0.000
```

Values from the calculation:
magnetization = 0.0 μB/cell
space-group type = P4/mmm (123)
raw total energy = -18.329 eV/atom
DFT formation energy = 0.198 eV per atom

***

23.
CuAs3: PBEsol geometry, SCAN.

```
CuAs3
1.0
-0.278 -1.770 2.246
2.108 1.952 -0.039
-5.696 6.234 4.209
As Cu
3 1
Direct
0.000 0.000 0.714
0.000 0.000 0.286
0.333 0.667 0.000
0.333 0.667 0.500
```

Values from the calculation:
magnetization = 0.0 μB/cell
space-group type = P-6m2 (187)
raw total energy = -18.565 eV/atom
DFT formation energy = 0.378 eV per atom

***

24.
ErCuAs2: PBEsol geometry, SCAN.

```
ErCuAs2
1.0
-2.741 0.436 -2.653
1.785 -2.538 -2.261
-5.024 -7.114 4.022
Cu Er As
2 2 4
Direct
0.500 0.500 0.500
0.000 0.000 0.500
0.500 0.000 0.238
0.000 0.500 0.762
0.000 0.500 0.337
0.500 0.000 0.663
0.000 0.000 0.000
0.500 0.500 0.000
```

Values from the calculation:
magnetization = 0.0 μB/cell
space-group type = P4/nmm (129)
raw total energy = -27.390 eV/atom
DFT formation energy = -0.910 eV per atom